(1)
The following is a DFT calculation (PBE-GGA) of Pr2HoTm4 after structural relaxation.

Output
Crystal system = tetragonal
D(E_F) = 13.29 states/eV/f.u.
Energy of formation from the pure elements = 0.271 eV/atom
Raw total energy = -120.5 eV per cell

Lattice parameters (Å, degrees): 9.7248 9.7248 9.7506 90.00 90.00 90.00
With the nearest neighbours (Å) after each atom.
Space group I-42d (No. 122)
Unique sites:
Pr: 0.1269 0.7500 0.1250 x8  8 Tm 3.35-3.40
Ho: 0.0000 0.0000 0.5000 x4  8 Tm 3.35-3.38
Tm: 0.0815 0.6682 0.4579 x16  4 Pr 3.35-3.40, 2 Ho 3.35-3.38, 3 Tm 3.63-3.66

***

(2)
The following is a DFT calculation (PBE-GGA) of Pr3Ho2Tm7 after structural relaxation.

Output
Crystal system = monoclinic
D(E_F) = 18.99 states/eV/f.u.
Energy of formation from the pure elements = 0.086 eV/atom
Raw total energy = -53.8 eV per cell

Lattice parameters (Å, degrees): 6.3257 3.5385 17.2100 90.00 90.05 90.00
With the nearest neighbours (Å) after each atom.
Space group P2/m (No. 10)
Unique sites:
Pr: 0.0000 0.0000 0.0000 x1  10 Tm 3.52-3.62, 2 Pr 3.54
Pr: 0.4978 0.5000 0.6599 x2  2 Pr 3.54, 4 Ho 3.61-3.66, 7 Tm 3.62-3.66
Ho: 0.0029 0.0000 0.6759 x2  5 Tm 3.41-3.45, 2 Ho 3.54, 4 Pr 3.61-3.66
Tm: 0.1710 0.5000 0.8351 x2  2 Ho 3.43, 3 Pr 3.52-3.66, 7 Tm 3.52-3.63
Tm: 0.2521 0.0000 0.5000 x2  2 Tm 3.14-3.19, 2 Ho 3.41-3.43
Tm: 0.3296 0.0000 0.1653 x2  1 Ho 3.45, 8 Tm 3.52-3.63, 3 Pr 3.53-3.66
Tm: 0.5000 0.5000 0.0000 x1  8 Tm 3.52-3.54, 4 Pr 3.62

***

Which formula does entry 2 have? Pr3Ho2Tm7